Crystalline Ir3C at its relaxed geometry, computed with GGA-PBE.

Cell: 2.8271 2.8271 7.9107 Å, 90.00 90.00 123.13°
Last column: nearest neighbours and their distance in Å.
Positions (direct):
1 C 0.0000 0.0000 0.0000  4 Ir 2.05
2 Ir 0.5000 0.5000 0.8052  2 C 2.05
3 Ir 0.0000 0.0000 0.5000  10 Ir 2.69-2.83
4 Ir 0.5000 0.5000 0.1948  2 C 2.05

* polymorph energy (0 for the lowest one): 108 kJ/mol of formula units
* M_tot: 0.00 μB/cell
* formation enthalpy at 0 K: 0.77 eV/atom